No. 1
{"formula": "KPdNO", "functional": "PBE", "state": "optimized geometry", "cell": [[6.042, 0.000, 0.000], [0.000, 8.300, 0.000], [0.000, 0.000, 5.730]], "species": ["K", "K", "K", "K", "Pd", "Pd", "Pd", "Pd", "N", "N", "N", "N", "O", "O", "O", "O"], "fractional_positions": [[0.048, 0.166, 0.000], [0.452, 0.166, 0.500], [0.548, 0.834, 0.000], [0.952, 0.834, 0.500], [0.077, 0.624, 0.992], [0.423, 0.624, 0.492], [0.577, 0.376, 0.992], [0.923, 0.376, 0.492], [0.033, 0.837, 0.001], [0.467, 0.837, 0.501], [0.533, 0.163, 0.001], [0.967, 0.163, 0.501], [0.135, 0.528, 0.655], [0.365, 0.528, 0.155], [0.635, 0.472, 0.655], [0.865, 0.472, 0.155]], "final_energy_ev_per_atom": -4.6065, "polymorph_energy_mev_per_atom": 199.9}


No. 2
{"formula": "KPdNO", "functional": "PBE", "state": "optimized geometry", "cell": [[4.437, 0.000, 0.000], [0.000, 4.437, 0.000], [0.000, 0.000, 6.967]], "species": ["K", "K", "Pd", "Pd", "N", "N", "O", "O"], "fractional_positions": [[0.250, 0.750, 0.000], [0.750, 0.250, 0.000], [0.250, 0.250, 0.448], [0.750, 0.750, 0.552], [0.250, 0.250, 0.187], [0.750, 0.750, 0.813], [0.250, 0.750, 0.500], [0.750, 0.250, 0.500]], "final_energy_ev_per_atom": -4.3095, "polymorph_energy_mev_per_atom": 496.9}


No. 3
{"formula": "KPmNO", "functional": "PBE", "state": "optimized geometry", "cell": [[3.807, 0.000, 0.000], [0.000, 7.465, 0.000], [0.000, 0.000, 6.424]], "species": ["K", "K", "Pm", "Pm", "N", "N", "O", "O"], "fractional_positions": [[0.000, 0.155, 0.000], [0.000, 0.845, 0.500], [0.500, 0.336, 0.489], [0.500, 0.664, 0.989], [0.500, 0.381, 0.848], [0.500, 0.619, 0.348], [0.000, 0.193, 0.416], [0.000, 0.807, 0.916]], "final_energy_ev_per_atom": -5.9532, "polymorph_energy_mev_per_atom": 8.7}


No. 4
{"formula": "KPmNO", "functional": "PBE", "state": "optimized geometry", "cell": [[3.985, 0.000, 0.000], [0.000, 3.985, 0.000], [0.000, 0.000, 8.895]], "species": ["K", "K", "Pm", "Pm", "N", "N", "O", "O"], "fractional_positions": [[0.250, 0.750, 0.000], [0.750, 0.250, 0.000], [0.250, 0.250, 0.369], [0.750, 0.750, 0.631], [0.250, 0.250, 0.795], [0.750, 0.750, 0.205], [0.250, 0.750, 0.500], [0.750, 0.250, 0.500]], "final_energy_ev_per_atom": -5.6425, "polymorph_energy_mev_per_atom": 319.5}